Record 1
Below is a relaxed structure of PuMgAg4, with properties calculated at the GGA-PBE level.

abc: 4.7287 4.7287 6.7355
angles: 90.00 90.00 120.00
Space group P6/mmm (No. 191)
One atom of each set of equivalent atoms:
Pu 0.0000 0.0000 0.0000 [1 per cell]
Mg 0.0000 0.0000 0.5000 [1 per cell]
Ag 0.3333 0.6667 0.2818 [4 per cell]

**V**: 130.4 Å³/cell
**M_tot**: 5.855 μB per formula unit
**Calculated formation energy**: 0.1 eV per formula unit
**D(E_F)**: 3.036 states/eV per atom
**Polymorph energy (0 for the lowest one)**: 0.028 eV per atom
**Total energy**: -27.2 eV/cell

Record 2
Below is a relaxed structure of PuMgAg4, with properties calculated at the GGA-PBE level.

abc: 7.958 7.958 7.958
angles: 90.00 90.00 90.00
Space group F-43m (No. 216)
One atom of each set of equivalent atoms:
Pu 0.000 0.000 0.000 [4 per cell]
Mg 0.250 0.250 0.750 [4 per cell]
Ag 0.125 0.125 0.375 [16 per cell]

**V**: 504.0 Å³/cell
**M_tot**: 5.722 μB per formula unit
**Calculated formation energy**: 0.0 eV per formula unit
**D(E_F)**: 3.256 states/eV per atom
**Polymorph energy (0 for the lowest one)**: 0.000 eV per atom
**Total energy**: -109.5 eV/cell

Record 3
Below is a relaxed structure of PuMgAgRh, with properties calculated at the GGA-PBE level.

abc: 6.852 6.852 6.852
angles: 90.00 90.00 90.00
Space group F-43m (No. 216)
One atom of each set of equivalent atoms:
Pu 0.000 0.000 0.000 [4 per cell]
Mg 0.000 0.000 0.500 [4 per cell]
Ag 0.250 0.250 0.750 [4 per cell]
Rh 0.250 0.250 0.250 [4 per cell]

**V**: 321.7 Å³/cell
**M_tot**: 5.221 μB per formula unit
**Calculated formation energy**: -0.6 eV per formula unit
**D(E_F)**: 3.254 states/eV per atom
**Total energy**: -106.9 eV/cell

Record 4
Below is a relaxed structure of PuMg2Ag2Sn2, with properties calculated at the GGA-PBE level.

abc: 4.6865 4.6865 24.9263
angles: 90.00 90.00 120.00
Space group R-3m (No. 166, hexagonal axes)
One atom of each set of equivalent atoms:
Pu 0.0000 0.0000 0.0000 [3 per cell]
Mg 0.0000 0.0000 0.1377 [6 per cell]
Ag 0.0000 0.0000 0.4396 [6 per cell]
Sn 0.0000 0.0000 0.2653 [6 per cell]

**V**: 474.1 Å³/cell
**M_tot**: 5.545 μB per formula unit
**Calculated formation energy**: -1.5 eV per formula unit
**D(E_F)**: 1.991 states/eV per atom
**Total energy**: -98.2 eV/cell

Record 5
Below is a relaxed structure of TbPuMgAg, with properties calculated at the GGA-PBE level.

abc: 7.463 7.463 7.463
angles: 90.00 90.00 90.00
Space group F-43m (No. 216)
One atom of each set of equivalent atoms:
Tb 0.000 0.000 0.000 [4 per cell]
Pu 0.000 0.000 0.500 [4 per cell]
Mg 0.250 0.250 0.750 [4 per cell]
Ag 0.250 0.250 0.250 [4 per cell]

**V**: 415.7 Å³/cell
**M_tot**: 6.262 μB per formula unit
**Calculated formation energy**: 0.3 eV per formula unit
**D(E_F)**: 2.748 states/eV per atom
**Total energy**: -92.6 eV/cell

Record 6
Below is a relaxed structure of RbMg2Ag2, with properties calculated at the GGA-PBE level.

abc: 4.745 4.745 12.345
angles: 90.00 90.00 90.00
Space group I4/mmm (No. 139)
One atom of each set of equivalent atoms:
Rb 0.000 0.000 0.000 [2 per cell]
Mg 0.000 0.500 0.250 [4 per cell]
Ag 0.000 0.000 0.381 [4 per cell]

**V**: 278.0 Å³/cell
**M_tot**: 0.000 μB per formula unit
**Calculated formation energy**: 0.0 eV per formula unit
**D(E_F)**: 0.428 states/eV per atom
**Polymorph energy (0 for the lowest one)**: 0.004 eV per atom
**Total energy**: -19.6 eV/cell

Record 7
Below is a relaxed structure of RbMg3Ag, with properties calculated at the GGA-PBE level.

abc: 5.379 5.379 5.379
angles: 90.00 90.00 90.00
Space group Pm-3m (No. 221)
One atom of each set of equivalent atoms:
Rb 0.000 0.000 0.000 [1 per cell]
Mg 0.000 0.500 0.500 [3 per cell]
Ag 0.500 0.500 0.500 [1 per cell]

**V**: 155.7 Å³/cell
**M_tot**: 0.000 μB per formula unit
**Calculated formation energy**: 0.4 eV per formula unit
**D(E_F)**: 0.494 states/eV per atom
**Polymorph energy (0 for the lowest one)**: 0.000 eV per atom
**Total energy**: -8.2 eV/cell

Record 8
Below is a relaxed structure of Rb3MgAg, with properties calculated at the GGA-PBE level.

abc: 6.806 6.806 6.806
angles: 90.00 90.00 90.00
Space group Pm-3m (No. 221)
One atom of each set of equivalent atoms:
Rb 0.000 0.000 0.500 [3 per cell]
Mg 0.500 0.500 0.500 [1 per cell]
Ag 0.000 0.000 0.000 [1 per cell]

**V**: 315.3 Å³/cell
**M_tot**: 0.000 μB per formula unit
**Calculated formation energy**: 1.3 eV per formula unit
**D(E_F)**: 1.246 states/eV per atom
**Polymorph energy (0 for the lowest one)**: 0.000 eV per atom
**Total energy**: -6.1 eV/cell

Record 9
Below is a relaxed structure of RbMgAg2, with properties calculated at the GGA-PBE level.

abc: 3.615 3.615 8.224
angles: 90.00 90.00 90.00
Space group P4/mmm (No. 123)
One atom of each set of equivalent atoms:
Rb 0.000 0.000 0.000 [1 per cell]
Mg 0.000 0.000 0.500 [1 per cell]
Ag 0.500 0.500 0.327 [2 per cell]

**V**: 107.5 Å³/cell
**M_tot**: 0.000 μB per formula unit
**Calculated formation energy**: 0.2 eV per formula unit
**D(E_F)**: 0.594 states/eV per atom
**Polymorph energy (0 for the lowest one)**: 0.000 eV per atom
**Total energy**: -8.1 eV/cell

Record 10
Below is a relaxed structure of RbMgAg2, with properties calculated at the GGA-PBE level.

abc: 5.557 5.557 18.974
angles: 90.00 90.00 90.00
Space group I4_1/amd (No. 141, origin choice 2)
One atom of each set of equivalent atoms:
Rb 0.000 0.250 0.375 [4 per cell]
Mg 0.000 0.250 0.875 [4 per cell]
Ag 0.000 0.000 0.000 [8 per cell]

**V**: 585.9 Å³/cell
**M_tot**: 0.000 μB per formula unit
**Calculated formation energy**: 0.6 eV per formula unit
**D(E_F)**: 0.533 states/eV per atom
**Polymorph energy (0 for the lowest one)**: 0.108 eV per atom
**Total energy**: -30.6 eV/cell

Record 11
Below is a relaxed structure of RbMgAg2, with properties calculated at the GGA-PBE level.

abc: 7.638 7.638 7.638
angles: 90.00 90.00 90.00
Space group Fm-3m (No. 225)
One atom of each set of equivalent atoms:
Rb 0.000 0.000 0.000 [4 per cell]
Mg 0.000 0.000 0.500 [4 per cell]
Ag 0.250 0.250 0.250 [8 per cell]

**V**: 445.6 Å³/cell
**M_tot**: 0.000 μB per formula unit
**Calculated formation energy**: 1.0 eV per formula unit
**D(E_F)**: 0.271 states/eV per atom
**Polymorph energy (0 for the lowest one)**: 0.214 eV per atom
**Total energy**: -28.9 eV/cell

Record 12
Below is a relaxed structure of Rb4MgAg2, with properties calculated at the GGA-PBE level.

abc: 7.036 7.036 17.438
angles: 90.00 90.00 90.00
Space group I4/mmm (No. 139)
One atom of each set of equivalent atoms:
Rb 0.000 0.000 0.221 [4 per cell]
Rb 0.000 0.500 0.000 [4 per cell]
Mg 0.000 0.000 0.000 [2 per cell]
Ag 0.000 0.000 0.420 [4 per cell]

**V**: 863.4 Å³/cell
**M_tot**: 0.000 μB per formula unit
**Calculated formation energy**: 2.0 eV per formula unit
**D(E_F)**: 0.885 states/eV per atom
**Total energy**: -18.3 eV/cell